1 | VASP calculation (GGA-PBEsol) on a relaxed structure of Ca2TcAg.

```
data_Ca2TcAg
_chemical_formula_sum 'Ca8 Tc4 Ag4'
_space_group_name_H-M_alt 'F -4 3 m'
_space_group_IT_number 216
_space_group_name_Hall 'F -4 2 3'
_cell_length_a 6.965
_cell_length_b 6.965
_cell_length_c 6.965
_cell_angle_alpha 90.00
_cell_angle_beta 90.00
_cell_angle_gamma 90.00
loop_
_atom_site_label
_atom_site_type_symbol
_atom_site_fract_x
_atom_site_fract_y
_atom_site_fract_z
Ca1 Ca 0.000 0.000 0.000
Ca2 Ca 0.250 0.250 0.250
Tc1 Tc 0.000 0.000 0.500
Ag1 Ag 0.250 0.250 0.750
```

---

2 | VASP calculation (GGA-PBEsol) on a relaxed structure of Ca2TcAg.

```
data_Ca2TcAg
_chemical_formula_sum 'Ca4 Tc2 Ag2'
_space_group_name_H-M_alt 'I m m 2'
_space_group_IT_number 44
_space_group_name_Hall 'I 2 -2'
_cell_length_a 3.092
_cell_length_b 5.141
_cell_length_c 11.044
_cell_angle_alpha 90.00
_cell_angle_beta 90.00
_cell_angle_gamma 90.00
loop_
_atom_site_label
_atom_site_type_symbol
_atom_site_fract_x
_atom_site_fract_y
_atom_site_fract_z
Ca1 Ca 0.000 0.000 0.000
Ca2 Ca 0.000 0.500 0.201
Tc1 Tc 0.000 0.500 0.743
Ag1 Ag 0.000 0.000 0.443
```

---

Verdict on stability: 2 comes out on top.

---

1 | VASP calculation (GGA-PBEsol) on a relaxed structure of CaAg2W.

```
data_CaAg2W
_chemical_formula_sum 'Ca1 Ag2 W1'
_space_group_name_H-M_alt 'P 4 m m'
_space_group_IT_number 99
_space_group_name_Hall 'P 4 -2'
_cell_length_a 2.856
_cell_length_b 2.856
_cell_length_c 8.919
_cell_angle_alpha 90.00
_cell_angle_beta 90.00
_cell_angle_gamma 90.00
loop_
_atom_site_label
_atom_site_type_symbol
_atom_site_fract_x
_atom_site_fract_y
_atom_site_fract_z
Ca1 Ca 0.000 0.000 0.000
Ag1 Ag 0.000 0.000 0.498
Ag2 Ag 0.500 0.500 0.726
W1 W 0.500 0.500 0.270
```

---

2 | VASP calculation (GGA-PBEsol) on a relaxed structure of CaAg2W.

```
data_CaAg2W
_chemical_formula_sum 'Ca2 Ag4 W2'
_space_group_name_H-M_alt 'C m m m'
_space_group_IT_number 65
_space_group_name_Hall '-C 2 2'
_cell_length_a 6.239
_cell_length_b 8.341
_cell_length_c 2.774
_cell_angle_alpha 90.00
_cell_angle_beta 90.00
_cell_angle_gamma 90.00
loop_
_atom_site_label
_atom_site_type_symbol
_atom_site_fract_x
_atom_site_fract_y
_atom_site_fract_z
Ca1 Ca 0.000 0.000 0.000
Ag1 Ag 0.250 0.250 0.500
W1 W 0.000 0.500 0.000
```

---

Verdict on stability: 1 comes out on top.

---

1 | VASP calculation (GGA-PBEsol) on a relaxed structure of CaY2Ag.

```
data_CaY2Ag
_chemical_formula_sum 'Ca1 Y2 Ag1'
_space_group_name_H-M_alt 'P 4/m m m'
_space_group_IT_number 123
_space_group_name_Hall '-P 4 2'
_cell_length_a 5.109
_cell_length_b 5.109
_cell_length_c 4.106
_cell_angle_alpha 90.00
_cell_angle_beta 90.00
_cell_angle_gamma 90.00
loop_
_atom_site_label
_atom_site_type_symbol
_atom_site_fract_x
_atom_site_fract_y
_atom_site_fract_z
Ca1 Ca 0.000 0.000 0.000
Y1 Y 0.000 0.500 0.500
Ag1 Ag 0.500 0.500 0.000
```

---

2 | VASP calculation (GGA-PBEsol) on a relaxed structure of CaY2Ag.

```
data_CaY2Ag
_chemical_formula_sum 'Ca2 Y4 Ag2'
_space_group_name_H-M_alt 'I m m m'
_space_group_IT_number 71
_space_group_name_Hall '-I 2 2'
_cell_length_a 3.604
_cell_length_b 5.453
_cell_length_c 11.505
_cell_angle_alpha 90.00
_cell_angle_beta 90.00
_cell_angle_gamma 90.00
loop_
_atom_site_label
_atom_site_type_symbol
_atom_site_fract_x
_atom_site_fract_y
_atom_site_fract_z
Ca1 Ca 0.000 0.000 0.000
Y1 Y 0.000 0.500 0.209
Ag1 Ag 0.000 0.000 0.500
```

---

3 | VASP calculation (GGA-PBEsol) on a relaxed structure of CaY2Ag.

```
data_CaY2Ag
_chemical_formula_sum 'Ca1 Y2 Ag1'
_space_group_name_H-M_alt 'P 4 m m'
_space_group_IT_number 99
_space_group_name_Hall 'P 4 -2'
_cell_length_a 3.627
_cell_length_b 3.627
_cell_length_c 8.562
_cell_angle_alpha 90.00
_cell_angle_beta 90.00
_cell_angle_gamma 90.00
loop_
_atom_site_label
_atom_site_type_symbol
_atom_site_fract_x
_atom_site_fract_y
_atom_site_fract_z
Ca1 Ca 0.000 0.000 0.000
Y1 Y 0.000 0.000 0.589
Y2 Y 0.500 0.500 0.318
Ag1 Ag 0.500 0.500 0.783
```

---

Verdict on stability: 3 comes out on top.

---

1 | VASP calculation (GGA-PBEsol) on a relaxed structure of CaYAg.

```
data_CaYAg
_chemical_formula_sum 'Ca2 Y2 Ag2'
_space_group_name_H-M_alt 'I 4 m m'
_space_group_IT_number 107
_space_group_name_Hall 'I 4 -2'
_cell_length_a 3.594
_cell_length_b 3.594
_cell_length_c 12.844
_cell_angle_alpha 90.00
_cell_angle_beta 90.00
_cell_angle_gamma 90.00
loop_
_atom_site_label
_atom_site_type_symbol
_atom_site_fract_x
_atom_site_fract_y
_atom_site_fract_z
Ca1 Ca 0.000 0.000 0.000
Y1 Y 0.000 0.000 0.723
Ag1 Ag 0.000 0.000 0.349
```

---

2 | VASP calculation (GGA-PBEsol) on a relaxed structure of CaYAg.

```
data_CaYAg
_chemical_formula_sum 'Ca4 Y4 Ag4'
_space_group_name_H-M_alt 'F -4 3 m'
_space_group_IT_number 216
_space_group_name_Hall 'F -4 2 3'
_cell_length_a 6.926
_cell_length_b 6.926
_cell_length_c 6.926
_cell_angle_alpha 90.00
_cell_angle_beta 90.00
_cell_angle_gamma 90.00
loop_
_atom_site_label
_atom_site_type_symbol
_atom_site_fract_x
_atom_site_fract_y
_atom_site_fract_z
Ca1 Ca 0.000 0.000 0.000
Y1 Y 0.250 0.250 0.750
Ag1 Ag 0.250 0.250 0.250
```

---

Verdict on stability: 1 comes out on top.